VASP calculation (GGA-PBE) on a geometry-optimized Sb4Se2S3 structure.

Cell: 7.1208 10.8098 10.8098 Å, 70.34 115.10 115.10°
With the nearest neighbours (Å) after each atom.
Atoms (fractional coordinates):
Sb1 0.4943 0.1676 0.9351  2 S 2.46-2.51
Sb2 0.0057 0.0649 0.8324  2 S 2.46-2.51
Sb3 0.9943 0.9351 0.1676  2 S 2.46-2.51
Sb4 0.5158 0.5448 0.6889  1 S 2.51, 2 Se 2.60-2.67
Sb5 0.9842 0.3111 0.4552  1 S 2.51, 2 Se 2.60-2.67
Sb6 0.5057 0.8324 0.0649  2 S 2.46-2.51
Sb7 0.0158 0.6889 0.5448  1 S 2.51, 2 Se 2.60-2.67
Sb8 0.4842 0.4552 0.3111  1 S 2.51, 2 Se 2.60-2.67
Se1 0.1921 0.2186 0.3693  2 Sb 2.60-2.67
Se2 0.6921 0.3693 0.2186  2 Sb 2.60-2.67
Se3 0.3079 0.6307 0.7814  2 Sb 2.60-2.67
Se4 0.8079 0.7814 0.6307  2 Sb 2.60-2.67
S1 0.2500 0.5554 0.4446  2 Sb 2.51
S2 0.9676 0.8328 0.9819  2 Sb 2.46-2.51
S3 0.5324 0.0181 0.1672  2 Sb 2.46-2.51
S4 0.0324 0.1672 0.0181  2 Sb 2.46-2.51
S5 0.7500 0.4446 0.5554  2 Sb 2.51
S6 0.4676 0.9819 0.8328  2 Sb 2.46-2.51

Properties
E_form (uncorrected)   -0.122 eV/atom
Energy   -73.9 eV per cell
SG   No. 15
Spin magnetization   0.00 μB/f.u.

VASP calculation (GGA-PBE) on a geometry-optimized La3RuBr3 structure.

Cell: 4.3219 9.2168 12.1226 Å, 94.27 90.00 90.00°
With the nearest neighbours (Å) after each atom.
Atoms (fractional coordinates):
La1 0.7500 0.1259 0.8431  1 Ru 2.54
La2 0.7500 0.6684 0.3719  2 Ru 2.91, 2 Br 3.08-3.17
La3 0.2500 0.9004 0.6070  3 Ru 2.91-2.97
La4 0.7500 0.0996 0.3930  3 Ru 2.91-2.97
La5 0.2500 0.8741 0.1569  1 Ru 2.54
La6 0.2500 0.3316 0.6281  2 Ru 2.91, 2 Br 3.08-3.17
Br1 0.7500 0.1121 0.1200  4 La 3.13-3.37
Br2 0.2500 0.8879 0.8800  4 La 3.13-3.37
Br3 0.2500 0.3897 0.3740  5 La 3.17-3.46
Br4 0.2500 0.3618 0.8828  3 La 3.08
Br5 0.7500 0.6103 0.6260  5 La 3.17-3.46
Br6 0.7500 0.6382 0.1172  3 La 3.08
Ru1 0.7500 0.1214 0.6333  1 La 2.54
Ru2 0.2500 0.8786 0.3667  1 La 2.54

Properties
E_form (uncorrected)   -1.366 eV/atom
Energy   -77.3 eV per cell
Offset from the most stable computed form   0.0 meV per atom
SG   No. 11
Spin magnetization   0.00 μB/f.u.

VASP calculation (GGA-PBE) on a geometry-optimized Tb2SmHo6Th structure.

Cell: 9.6751 8.7073 8.7073 Å, 117.38 94.58 94.58°
With the nearest neighbours (Å) after each atom.
Atoms (fractional coordinates):
Ho1 0.5595 0.7421 0.1210  8 Ho 3.42-3.77, 1 Tb 3.50, 1 Sm 3.64, 1 Th 3.69
Ho2 0.3166 0.9739 0.4265  3 Ho 3.23-3.59, 2 Tb 3.41-3.59, 1 Th 3.48, 1 Sm 3.56
Ho3 0.3809 0.5063 0.2997  4 Ho 3.23-3.53, 3 Tb 3.26-3.45, 2 Th 3.39-3.55
Ho4 0.0595 0.1210 0.7421  8 Ho 3.42-3.77, 1 Tb 3.50, 1 Sm 3.64, 1 Th 3.69
Ho5 0.1834 0.5735 0.0261  3 Ho 3.23-3.59, 2 Tb 3.41-3.59, 1 Th 3.48, 1 Sm 3.56
Ho6 0.6191 0.4937 0.7003  4 Ho 3.23-3.53, 3 Tb 3.26-3.45, 2 Th 3.39-3.55
Ho7 0.8809 0.2997 0.5063  4 Ho 3.23-3.53, 3 Tb 3.26-3.45, 2 Th 3.39-3.55
Ho8 0.6834 0.0261 0.5735  3 Ho 3.23-3.59, 2 Tb 3.41-3.59, 1 Th 3.48, 1 Sm 3.56
Ho9 0.1191 0.7003 0.4937  4 Ho 3.23-3.53, 3 Tb 3.26-3.45, 2 Th 3.39-3.55
Ho10 0.4405 0.2579 0.8790  8 Ho 3.42-3.77, 1 Tb 3.50, 1 Sm 3.64, 1 Th 3.69
Ho11 0.8166 0.4265 0.9739  3 Ho 3.23-3.59, 2 Tb 3.41-3.59, 1 Th 3.48, 1 Sm 3.56
Ho12 0.9405 0.8790 0.2579  8 Ho 3.42-3.77, 1 Tb 3.50, 1 Sm 3.64, 1 Th 3.69
Sm1 0.2500 0.9787 0.0213  4 Tb 3.33-3.34, 4 Ho 3.56-3.64
Sm2 0.7500 0.0213 0.9787  4 Tb 3.33-3.34, 4 Ho 3.56-3.64
Tb1 0.5451 0.1902 0.2905  6 Ho 3.26-3.59, 2 Sm 3.33-3.34, 1 Th 3.57
Tb2 0.4549 0.8098 0.7095  6 Ho 3.26-3.59, 2 Sm 3.33-3.34, 1 Th 3.57
Tb3 0.0451 0.2905 0.1902  6 Ho 3.26-3.59, 2 Sm 3.33-3.34, 1 Th 3.57
Tb4 0.9549 0.7095 0.8098  6 Ho 3.26-3.59, 2 Sm 3.33-3.34, 1 Th 3.57
Th1 0.7500 0.5958 0.4042  8 Ho 3.39-3.69, 2 Tb 3.57
Th2 0.2500 0.4042 0.5958  8 Ho 3.39-3.69, 2 Tb 3.57

Properties
Energy   -94.8 eV per cell
SG   No. 15
Spin magnetization   0.00 μB/f.u.
Calculated formation energy   0.15 eV/atom

VASP calculation (GGA-PBE) on a geometry-optimized ZrCd2Re structure.

Cell: 3.9657 3.9657 10.9781 Å, 79.59 79.59 90.00°
With the nearest neighbours (Å) after each atom.
Atoms (fractional coordinates):
Re1 0.7500 0.2500 0.5000  4 Zr 2.80, 4 Cd 2.98
Re2 0.0000 0.0000 0.0000  4 Zr 2.80, 4 Cd 2.98
Cd1 0.8750 0.8881 0.7500  4 Cd 2.73-2.88, 2 Re 2.98, 2 Zr 3.02
Cd2 0.6381 0.1250 0.2500  4 Cd 2.73-2.88, 2 Re 2.98, 2 Zr 3.02
Cd3 0.3750 0.3619 0.7500  4 Cd 2.73-2.88, 2 Re 2.98, 2 Zr 3.02
Cd4 0.1119 0.6250 0.2500  4 Cd 2.73-2.88, 2 Re 2.98, 2 Zr 3.02
Zr1 0.2500 0.7500 0.5000  4 Re 2.80, 4 Cd 3.02
Zr2 0.5000 0.5000 0.0000  4 Re 2.80, 4 Cd 3.02

Properties
Energy   -41.2 eV per cell
Offset from the most stable computed form   396.8 meV per atom
SG   No. 122
Spin magnetization   0.00 μB/f.u.
Calculated formation energy   0.56 eV/atom